# Pa2Re5B4 (GGA-PBE, optimized geometry)
data_Pa2Re5B4
_chemical_formula_sum 'Pa4 Re10 B8'
_space_group_name_H-M_alt 'C 1 2/m 1'
_space_group_IT_number 12
_cell_length_a 10.1812
_cell_length_b 5.6024
_cell_length_c 6.6582
_cell_angle_alpha 90.00
_cell_angle_beta 122.33
_cell_angle_gamma 90.00
loop_
_space_group_symop_operation_xyz
'x,y,z'
'-x,-y,-z'
'-x,y,-z'
'x,-y,z'
'x+1/2,y+1/2,z'
'-x+1/2,-y+1/2,-z'
'-x+1/2,y+1/2,-z'
'x+1/2,-y+1/2,z'
loop_
_atom_site_label
_atom_site_type_symbol
_atom_site_fract_x
_atom_site_fract_y
_atom_site_fract_z
Pa1 Pa 0.2203 0.0000 0.1336
Re1 Re 0.0000 0.5000 0.0000
Re2 Re 0.0887 0.2536 0.3830
B1 B 0.0849 0.0000 0.6527
B2 B 0.2379 0.5000 0.3055
# DFT total energy, eV per atom: -9.985
# Energy of formation, eV per atom: -0.1721
# N(E_F), states/eV per atom: 0.704

# PaReB2 (GGA-PBE, optimized geometry)
data_PaReB2
_chemical_formula_sum 'Pa3 Re3 B6'
_space_group_name_H-M_alt 'R -3 m'
_space_group_IT_number 166
_space_group_name_Hall '-R 3 2"'
_cell_length_a 3.3170
_cell_length_b 3.3170
_cell_length_c 17.2201
_cell_angle_alpha 90.00
_cell_angle_beta 90.00
_cell_angle_gamma 120.00
loop_
_atom_site_label
_atom_site_type_symbol
_atom_site_fract_x
_atom_site_fract_y
_atom_site_fract_z
Pa1 Pa 0.0000 0.0000 0.0000
Re1 Re 0.0000 0.0000 0.5000
B1 B 0.0000 0.0000 0.2326
# DFT total energy, eV per atom: -9.000
# Energy above the lowest structure with this stoichiometry, meV per atom: 384
# Energy of formation, eV per atom: -0.1750
# N(E_F), states/eV per atom: 0.448

# PaReB4 (GGA-PBE, optimized geometry)
data_PaReB4
_chemical_formula_sum 'Pa4 Re4 B16'
_space_group_name_H-M_alt 'C m m m'
_space_group_IT_number 65
_space_group_name_Hall '-C 2 2'
_cell_length_a 7.3733
_cell_length_b 9.4367
_cell_length_c 3.6566
_cell_angle_alpha 90.00
_cell_angle_beta 90.00
_cell_angle_gamma 90.00
loop_
_atom_site_label
_atom_site_type_symbol
_atom_site_fract_x
_atom_site_fract_y
_atom_site_fract_z
Pa1 Pa 0.0000 0.1997 0.0000
Re1 Re 0.1876 0.5000 0.0000
B1 B 0.0000 0.4087 0.5000
B2 B 0.1214 0.0000 0.5000
B3 B 0.2214 0.3414 0.5000
# DFT total energy, eV per atom: -8.736
# Energy above the lowest structure with this stoichiometry, meV per atom: 0
# Energy of formation, eV per atom: -0.6271
# N(E_F), states/eV per atom: 0.447

# PaReB (GGA-PBE, optimized geometry)
data_PaReB
_chemical_formula_sum 'Pa6 Re6 B6'
_space_group_name_H-M_alt 'R -3 m'
_space_group_IT_number 166
_space_group_name_Hall '-R 3 2"'
_cell_length_a 3.7106
_cell_length_b 3.7106
_cell_length_c 24.9287
_cell_angle_alpha 90.00
_cell_angle_beta 90.00
_cell_angle_gamma 120.00
loop_
_atom_site_label
_atom_site_type_symbol
_atom_site_fract_x
_atom_site_fract_y
_atom_site_fract_z
Pa1 Pa 0.0000 0.0000 0.1192
Re1 Re 0.0000 0.0000 0.3723
B1 B 0.0000 0.0000 0.2808
# DFT total energy, eV per atom: -9.667
# Energy above the lowest structure with this stoichiometry, meV per atom: 0
# Energy of formation, eV per atom: -0.1270
# N(E_F), states/eV per atom: 0.866